--- one ---
Here is SmDyZn4 after structural relaxation from Alexandria via LeMat-Bulk. Energies are from PBE.

Results
ρ (kg/m3): 8130
Size of the total moment (μB/f.u.): 0.00
Volume (Å³ per cell): 469.36

abc: 7.7714 7.7714 7.7714
angles: 90.00 90.00 90.00
Closest atoms and distances in Å follow each position.
Space group F-43m (No. 216)
Asymmetric unit:
Sm  0.0000  0.0000  0.0000  12 Zn 3.22, 4 Dy 3.37
Dy  0.2500  0.2500  0.7500  12 Zn 3.22, 4 Sm 3.37
Zn  0.1249  0.1249  0.3751  6 Zn 2.74-2.75



--- two ---
Here is SmDyZn4 after structural relaxation from Alexandria via LeMat-Bulk. Energies are from PBE.

Results
ρ (kg/m3): 6782
Size of the total moment (μB/f.u.): 0.00
Volume (Å³ per cell): 140.66

abc: 3.7806 3.7812 9.8400
angles: 90.11 90.37 90.02
Closest atoms and distances in Å follow each position.
Space group P-1 (No. 2)
Asymmetric unit:
Sm  0.0000  0.0000  0.0000  8 Zn 3.13-3.14
Dy  0.5000  0.5000  0.5000  8 Zn 3.06-3.08
Zn  0.0010  0.4999  0.7459  4 Zn 2.67-2.68
Zn  0.4991  0.0004  0.7459  4 Zn 2.67-2.68



--- three ---
Here is SmDyZn4 after structural relaxation from Alexandria via LeMat-Bulk. Energies are from PBE.

Results
ρ (kg/m3): 7644
Size of the total moment (μB/f.u.): 0.00
Volume (Å³ per cell): 249.60

abc: 4.5063 7.1115 7.7888
angles: 90.00 90.00 90.00
Closest atoms and distances in Å follow each position.
Space group Immm (No. 71)
Asymmetric unit:
Sm  0.0000  0.0000  0.0000  12 Zn 3.14-3.16
Dy  0.0000  0.5000  0.0000  12 Zn 3.14-3.16
Zn  0.0000  0.2475  0.3335  3 Zn 2.59-2.60



Relative energies in meV/atom: one 32; two 375; three 0



--- one ---
Here is Sm3DyZn8 after structural relaxation from Alexandria via LeMat-Bulk. Energies are from PBE.

Results
ρ (kg/m3): 7950
Size of the total moment (μB/f.u.): 0.00
Volume (Å³ per cell): 237.47

abc: 5.6223 5.6223 8.6746
angles: 90.00 90.00 120.00
Closest atoms and distances in Å follow each position.
Space group P3m1 (No. 156)
Asymmetric unit:
Sm  0.0000  0.0000  0.0000  12 Zn 3.11-3.30, 4 Sm 3.38-3.40
Sm  0.0000  0.0000  0.3919  12 Zn 3.10-3.28, 3 Dy 3.39, 1 Sm 3.40
Sm  0.3333  0.6667  0.8920  12 Zn 3.12-3.29, 1 Dy 3.38, 3 Sm 3.38
Dy  0.3333  0.6667  0.5028  12 Zn 3.09-3.28, 4 Sm 3.38-3.39
Zn  0.0006  0.5003  0.1991  6 Zn 2.69-2.82
Zn  0.3360  0.1680  0.6953  6 Zn 2.70-2.83
Zn  0.6667  0.3333  0.4456  6 Zn 2.69-2.70
Zn  0.6667  0.3333  0.9479  6 Zn 2.72



--- two ---
Here is Sm3DyZn8 after structural relaxation from Alexandria via LeMat-Bulk. Energies are from PBE.

Results
ρ (kg/m3): 7955
Size of the total moment (μB/f.u.): 0.00
Volume (Å³ per cell): 711.95

abc: 5.5244 5.5244 26.9374
angles: 90.00 90.00 120.00
Closest atoms and distances in Å follow each position.
Space group R3m (No. 160, hexagonal axes)
Asymmetric unit:
Sm  0.0000  0.0000  0.0000  12 Zn 3.22-3.24, 1 Sm 3.36, 3 Dy 3.39
Sm  0.0000  0.0000  0.1248  12 Zn 3.24-3.25, 4 Sm 3.36-3.38
Sm  0.0000  0.0000  0.4996  12 Zn 3.24, 1 Dy 3.36, 3 Sm 3.38
Dy  0.0000  0.0000  0.6243  12 Zn 3.22-3.24, 4 Sm 3.36-3.39
Zn  0.0000  0.0000  0.3122  6 Zn 2.74
Zn  0.0000  0.0000  0.8121  6 Zn 2.76-2.77
Zn  0.0008  0.5004  0.5628  6 Zn 2.74-2.77
Zn  0.1672  0.3344  0.3949  6 Zn 2.74-2.77



Relative energies in meV/atom: one 15; two 0



--- one ---
Here is Sm2DyZn after structural relaxation from Alexandria via LeMat-Bulk. Energies are from PBE.

Results
ρ (kg/m3): 7882
Size of the total moment (μB/f.u.): 0.00
Volume (Å³ per cell): 445.49

abc: 7.6374 7.6374 7.6374
angles: 90.00 90.00 90.00
Closest atoms and distances in Å follow each position.
Space group Fm-3m (No. 225)
Asymmetric unit:
Sm  0.2500  0.2500  0.2500  4 Dy 3.31, 4 Zn 3.31
Dy  0.0000  0.0000  0.0000  8 Sm 3.31
Zn  0.0000  0.0000  0.5000  8 Sm 3.31



--- two ---
Here is Sm2DyZn after structural relaxation from Alexandria via LeMat-Bulk. Energies are from PBE.

Results
ρ (kg/m3): 7370
Size of the total moment (μB/f.u.): 0.00
Volume (Å³ per cell): 357.33

abc: 3.6372 3.6372 31.1894
angles: 90.00 90.00 120.00
Closest atoms and distances in Å follow each position.
Space group R3m (No. 160, hexagonal axes)
Asymmetric unit:
Sm  0.0000  0.0000  0.0000  3 Zn 3.09
Sm  0.0000  0.0000  0.1874  3 Zn 3.10
Dy  0.0000  0.0000  0.7603  6 Sm 3.60, 6 Dy 3.64
Zn  0.0000  0.0000  0.5940  6 Sm 3.09-3.10



--- three ---
Here is Sm2DyZn after structural relaxation from Alexandria via LeMat-Bulk. Energies are from PBE.

Results
ρ (kg/m3): 7703
Size of the total moment (μB/f.u.): 0.00
Volume (Å³ per cell): 113.95

abc: 3.6252 3.6252 8.6709
angles: 90.00 90.00 90.00
Closest atoms and distances in Å follow each position.
Space group P4/mmm (No. 123)
Asymmetric unit:
Sm  0.0000  0.0000  0.2103  4 Zn 3.15
Dy  0.5000  0.5000  0.5000  8 Sm 3.59, 4 Dy 3.63
Zn  0.5000  0.5000  0.0000  8 Sm 3.15



--- four ---
Here is Sm2DyZn after structural relaxation from Alexandria via LeMat-Bulk. Energies are from PBE.

Results
ρ (kg/m3): 7829
Size of the total moment (μB/f.u.): 0.00
Volume (Å³ per cell): 112.12

abc: 5.4668 5.4668 3.7517
angles: 90.00 90.00 90.00
Closest atoms and distances in Å follow each position.
Space group P4/mmm (No. 123)
Asymmetric unit:
Sm  0.0000  0.5000  0.0000  4 Dy 3.32, 4 Zn 3.32
Dy  0.0000  0.0000  0.5000  8 Sm 3.32
Zn  0.5000  0.5000  0.5000  8 Sm 3.32



Relative energies in meV/atom: one 187; two 115; three 0; four 134



--- one ---
Here is SmDyZn after structural relaxation from Alexandria via LeMat-Bulk. Energies are from PBE.

Results
ρ (kg/m3): 7141
Size of the total moment (μB/f.u.): 0.00
Volume (Å³ per cell): 351.85

abc: 9.9712 4.9751 7.0927
angles: 90.00 90.00 90.00
Closest atoms and distances in Å follow each position.
Space group Pnma (No. 62)
Asymmetric unit:
Sm  0.1295  0.2500  0.0015  4 Zn 3.02-3.11
Dy  0.1211  0.2500  0.5018  4 Zn 3.01-3.09
Zn  0.1247  0.7500  0.2521  4 Dy 3.01-3.09, 4 Sm 3.02-3.11



--- two ---
Here is SmDyZn after structural relaxation from Alexandria via LeMat-Bulk. Energies are from PBE.

Results
ρ (kg/m3): 7795
Size of the total moment (μB/f.u.): 0.00
Volume (Å³ per cell): 80.58

abc: 5.0065 5.0065 3.7122
angles: 90.00 90.00 120.00
Closest atoms and distances in Å follow each position.
Space group P3m1 (No. 156)
Asymmetric unit:
Sm  0.0000  0.0000  0.0000  3 Zn 3.12, 3 Dy 3.35
Dy  0.3333  0.6667  0.5448  3 Zn 3.02, 3 Sm 3.35
Zn  0.6667  0.3333  0.3136  3 Dy 3.02, 3 Sm 3.12



Relative energies in meV/atom: one 76; two 0



--- one ---
Here is Sm2Dy8Zr after structural relaxation from Alexandria via LeMat-Bulk. Energies are from PBE.

Results
ρ (kg/m3): 8284
Size of the total moment (μB/f.u.): 0.00
Volume (Å³ per cell): 678.28

abc: 17.9478 4.9667 7.8849
angles: 90.00 105.20 90.00
Closest atoms and distances in Å follow each position.
Space group C2/m (No. 12)
Asymmetric unit:
Sm  0.2261  0.0000  0.1349  2 Sm 3.52, 10 Dy 3.54-3.61
Dy  0.0437  0.0000  0.2366  9 Dy 3.38-3.65, 2 Zr 3.46, 1 Sm 3.57
Dy  0.0884  0.5000  0.9430  1 Zr 3.44, 8 Dy 3.47-3.63, 3 Sm 3.54-3.55
Dy  0.1310  0.0000  0.6726  7 Dy 3.38-3.65, 2 Zr 3.44, 3 Sm 3.60-3.61
Dy  0.1783  0.5000  0.4094  1 Zr 3.46, 8 Dy 3.48-3.65, 3 Sm 3.54-3.55
Zr  0.0000  0.5000  0.5000  12 Dy 3.44-3.46



--- two ---
Here is Sm2Dy8Zr after structural relaxation from Alexandria via LeMat-Bulk. Energies are from PBE.

Results
ρ (kg/m3): 8068
Size of the total moment (μB/f.u.): 0.00
Volume (Å³ per cell): 696.46

abc: 16.5111 6.5396 6.6097
angles: 90.00 102.62 90.00
Closest atoms and distances in Å follow each position.
Space group C2/m (No. 12)
Asymmetric unit:
Sm  0.1848  0.0000  0.3153  7 Dy 3.33-3.71, 1 Zr 3.53
Dy  0.0802  0.2565  0.8872  1 Zr 3.10, 5 Dy 3.18-3.47, 1 Sm 3.42
Dy  0.0927  0.5000  0.4162  8 Dy 3.43-3.81, 2 Zr 3.70, 3 Sm 3.71-3.73
Dy  0.2446  0.0000  0.8297  5 Dy 3.28-3.47, 4 Sm 3.33-3.67
Zr  0.0000  0.0000  0.5000  4 Dy 3.10



Relative energies in meV/atom: one 0; two 161



--- one ---
Here is Dy5Sn3 after structural relaxation from Alexandria via LeMat-Bulk. Energies are from PBE.

Results
ρ (kg/m3): 8501
Size of the total moment (μB/f.u.): 0.00
Volume (Å³ per cell): 456.55

abc: 8.9642 8.9642 6.5605
angles: 90.00 90.00 120.00
Closest atoms and distances in Å follow each position.
Space group P6_3/mcm (No. 193)
Asymmetric unit:
Dy  0.0000  0.2379  0.2500  3 Sn 3.09-3.29
Dy  0.3333  0.6667  0.0000  6 Sn 3.20, 2 Dy 3.28
Sn  0.0000  0.3953  0.7500  7 Dy 3.09-3.29



--- two ---
Here is Dy5Sn3 after structural relaxation from Alexandria via LeMat-Bulk. Energies are from PBE.

Results
ρ (kg/m3): 8683
Size of the total moment (μB/f.u.): 1.63
Volume (Å³ per cell): 893.95

abc: 12.0542 12.0542 6.1523
angles: 90.00 90.00 90.00
Closest atoms and distances in Å follow each position.
Space group I4/mcm (No. 140)
Asymmetric unit:
Dy  0.0000  0.5000  0.2500  2 Dy 3.08, 4 Sn 3.17
Dy  0.0808  0.2187  0.0000  6 Sn 3.17-3.53, 1 Dy 3.42
Sn  0.0000  0.0000  0.2500  2 Sn 3.08, 8 Dy 3.20
Sn  0.1624  0.3376  0.5000  10 Dy 3.17-3.53



--- three ---
Here is Dy5Sn3 after structural relaxation from Alexandria via LeMat-Bulk. Energies are from PBE.

Results
ρ (kg/m3): 8507
Size of the total moment (μB/f.u.): 0.00
Volume (Å³ per cell): 912.49

abc: 8.1584 8.1584 13.7093
angles: 90.00 90.00 90.00
Closest atoms and distances in Å follow each position.
Space group I4/mcm (No. 140)
Asymmetric unit:
Dy  0.0000  0.0000  0.0000  6 Sn 3.14-3.43
Dy  0.1575  0.3425  0.1500  5 Sn 3.09-3.37
Sn  0.0000  0.0000  0.2500  10 Dy 3.37-3.43
Sn  0.1426  0.3574  0.5000  8 Dy 3.09-3.20, 1 Sn 3.29



Relative energies in meV/atom: one 0; two 54; three 75